Ce2Ni4Sb3Rh | GGA-PBE | relaxed

```
Ce2Ni4Sb3Rh
1.0
-2.1374 2.0321 2.9606
-1.4391 -3.6413 1.4604
8.4428 -0.6996 6.5755
Ce Ni Sb Rh
2 4 3 1
Direct
0.5000 0.0000 0.2608 Ce
0.0000 0.5000 0.7392 Ce
0.5000 0.5000 0.0000 Ni
0.0000 0.0000 0.0000 Ni
0.5000 0.0000 0.6419 Ni
0.0000 0.5000 0.3581 Ni
0.0000 0.0000 0.5000 Sb
0.5000 0.0000 0.8708 Sb
0.0000 0.5000 0.1292 Sb
0.5000 0.5000 0.5000 Rh
```

Computed properties:
- Magnetization: 0.57 μB/f.u.
- D(E_F): 1.2400 states/eV per atom
- DFT total energy: -6.046 eV per atom
- Formation energy without anion corrections: -0.575 eV/atom
- Crystal system: tetragonal